Material: ErHfAu
Method: DFT, PBE
State: relaxed

Cell and atoms, written as CIF:
```
data_ErHfAu
_symmetry_space_group_name_H-M 'P 4/n m m'
_symmetry_Int_Tables_number 129
_cell_length_a 4.466
_cell_length_b 4.466
_cell_length_c 7.170
_cell_angle_alpha 90.00
_cell_angle_beta 90.00
_cell_angle_gamma 90.00
loop_
_symmetry_equiv_pos_as_xyz
'x,y,z'
'-x,-y,-z'
'-y+1/2,x,z'
'y+1/2,-x,-z'
'-x+1/2,-y+1/2,z'
'x+1/2,y+1/2,-z'
'y,-x+1/2,z'
'-y,x+1/2,-z'
'x+1/2,-y,-z'
'-x+1/2,y,z'
'-y,-x,-z'
'y,x,z'
'-x,y+1/2,-z'
'x,-y+1/2,z'
'y+1/2,x+1/2,-z'
'-y+1/2,-x+1/2,z'
loop_
_atom_site_label
_atom_site_type_symbol
_atom_site_fract_x
_atom_site_fract_y
_atom_site_fract_z
Er1 Er 0.250 0.250 0.140
Hf1 Hf 0.250 0.750 0.500
Au1 Au 0.250 0.250 0.748
```

Computed properties:
- Formation energy from the elements: -455 meV/atom
- Total moment: 0.00 μB per cell
- Relative energy among the computed polymorphs: 0.00 kcal/mol of atoms
- VASP energy: -38.32 eV/cell